[1]
# YEr8Sc6, optimized geometry, DFT PBE-GGA
# Size of the total moment (μB per formula unit): 0.0
# ΔH_f (0 K) (meV/atom): 185
# Symmetry: R-3 (148)
data_YEr8Sc6
_symmetry_space_group_name_H-M 'P 1'
_symmetry_Int_Tables_number 1
_symmetry_space_group_name_Hall 'P 1'
_cell_length_a 8.532
_cell_length_b 8.532
_cell_length_c 8.532
_cell_angle_alpha 59.16
_cell_angle_beta 59.16
_cell_angle_gamma 59.16
loop_
_atom_site_label
_atom_site_type_symbol
_atom_site_fract_x
_atom_site_fract_y
_atom_site_fract_z
Er1 Er 0.418 0.418 0.418
Er2 Er 0.582 0.582 0.582
Sc1 Sc 0.479 0.721 0.927
Er3 Er 0.119 0.664 0.808
Sc2 Sc 0.073 0.521 0.279
Er4 Er 0.336 0.192 0.881
Er5 Er 0.192 0.881 0.336
Sc3 Sc 0.721 0.927 0.479
Y1 Y 0.000 0.000 0.000
Sc4 Sc 0.927 0.479 0.721
Er6 Er 0.881 0.336 0.192
Er7 Er 0.808 0.119 0.664
Sc5 Sc 0.521 0.279 0.073
Er8 Er 0.664 0.808 0.119
Sc6 Sc 0.279 0.073 0.521


[2]
# Y2Er5Sc2, optimized geometry, DFT PBE-GGA
# Size of the total moment (μB per formula unit): 0.0
# ΔH_f (0 K) (meV/atom): 108
# Symmetry: P-1 (2)
data_Y2Er5Sc2
_symmetry_space_group_name_H-M 'P 1'
_symmetry_Int_Tables_number 1
_symmetry_space_group_name_Hall 'P 1'
_cell_length_a 6.141
_cell_length_b 8.570
_cell_length_c 9.204
_cell_angle_alpha 39.09
_cell_angle_beta 63.19
_cell_angle_gamma 65.63
loop_
_atom_site_label
_atom_site_type_symbol
_atom_site_fract_x
_atom_site_fract_y
_atom_site_fract_z
Er1 Er 0.997 0.423 0.246
Er2 Er 0.656 0.950 0.818
Sc1 Sc 0.288 0.868 0.699
Y1 Y 0.337 0.472 0.405
Y2 Y 0.663 0.528 0.595
Er3 Er 0.000 0.000 0.000
Er4 Er 0.003 0.577 0.754
Sc2 Sc 0.712 0.132 0.301
Er5 Er 0.344 0.050 0.182


[3]
# Y3Er8Sc2, optimized geometry, DFT PBE-GGA
# Size of the total moment (μB per formula unit): 0.0
# ΔH_f (0 K) (meV/atom): 244
# Symmetry: P2/m (10)
data_Y3Er8Sc2
_symmetry_space_group_name_H-M 'P 1'
_symmetry_Int_Tables_number 1
_symmetry_space_group_name_Hall 'P 1'
_cell_length_a 5.526
_cell_length_b 7.598
_cell_length_c 10.433
_cell_angle_alpha 111.39
_cell_angle_beta 90.01
_cell_angle_gamma 90.00
loop_
_atom_site_label
_atom_site_type_symbol
_atom_site_fract_x
_atom_site_fract_y
_atom_site_fract_z
Er1 Er 0.000 0.136 0.272
Y1 Y 0.500 0.000 0.000
Er2 Er 0.000 0.324 0.648
Y2 Y 0.000 0.714 0.000
Er3 Er 0.000 0.864 0.728
Er4 Er 0.500 0.403 0.227
Er5 Er 0.500 0.823 0.226
Y3 Y 0.000 0.286 0.000
Sc1 Sc 0.500 0.241 0.482
Er6 Er 0.000 0.676 0.352
Er7 Er 0.500 0.597 0.773
Sc2 Sc 0.500 0.759 0.518
Er8 Er 0.500 0.177 0.774


[4]
# YEr2Sc7, optimized geometry, DFT PBE-GGA
# Size of the total moment (μB per formula unit): 0.0
# ΔH_f (0 K) (meV/atom): 149
# Symmetry: Cmmm (65)
data_YEr2Sc7
_symmetry_space_group_name_H-M 'P 1'
_symmetry_Int_Tables_number 1
_symmetry_space_group_name_Hall 'P 1'
_cell_length_a 3.326
_cell_length_b 13.854
_cell_length_c 13.854
_cell_angle_alpha 154.92
_cell_angle_beta 90.00
_cell_angle_gamma 90.00
loop_
_atom_site_label
_atom_site_type_symbol
_atom_site_fract_x
_atom_site_fract_y
_atom_site_fract_z
Sc1 Sc 0.500 0.346 0.148
Sc2 Sc 0.500 0.148 0.346
Er1 Er 0.500 0.289 0.711
Sc3 Sc 0.500 0.852 0.654
Sc4 Sc 0.000 0.183 0.817
Y1 Y 0.000 0.000 0.000
Sc5 Sc 0.500 0.654 0.852
Er2 Er 0.500 0.711 0.289
Sc6 Sc 0.000 0.817 0.183
Sc7 Sc 0.500 0.500 0.500


Total DFT energy (no corrections) readings, ordered: -78.19 -47.43 -65.39 -58.42 eV for the cell shown